## CsLuNiSe3 (PBE-GGA)

Data for a geometry-optimized CsLuNiSe3 structure.

Results
final energy: -4.741 eV/atom
symmetry: Pnma, No. 62
energy above the most stable polymorph in this dataset: 0.0195 eV per atom

Lattice parameters (Å, degrees): 10.7572 4.0371 15.6573 90.00 90.00 90.00
Last column: nearest neighbours and their distance in Å.
Element x y z (fractional)
Cs 0.2473 0.2500 0.0118  8 Se 3.65-3.82, 2 Ni 4.00, 2 Cs 4.04
Cs 0.2527 0.7500 0.5118  8 Se 3.65-3.82, 2 Ni 4.00, 2 Cs 4.04
Cs 0.7473 0.2500 0.4882  8 Se 3.65-3.82, 2 Ni 4.00, 2 Cs 4.04
Cs 0.7527 0.7500 0.9882  8 Se 3.65-3.82, 2 Ni 4.00, 2 Cs 4.04
Lu 0.0023 0.2500 0.7478  6 Se 2.78-2.80
Lu 0.4977 0.7500 0.2478  6 Se 2.78-2.80
Lu 0.5023 0.2500 0.7522  6 Se 2.78-2.80
Lu 0.9977 0.7500 0.2522  6 Se 2.78-2.80
Ni 0.2471 0.2500 0.2912  4 Se 2.39-2.42
Ni 0.2529 0.7500 0.7912  4 Se 2.39-2.42
Ni 0.7471 0.2500 0.2088  4 Se 2.39-2.42
Ni 0.7529 0.7500 0.7088  4 Se 2.39-2.42
Se 0.0566 0.2500 0.3695  1 Ni 2.39
Se 0.0595 0.7500 0.8658  1 Ni 2.39
Se 0.2468 0.7500 0.2058  2 Ni 2.42
Se 0.2532 0.2500 0.7058  2 Ni 2.42
Se 0.4405 0.2500 0.3658  1 Ni 2.39
Se 0.4434 0.7500 0.8695  1 Ni 2.39
Se 0.5566 0.2500 0.1305  1 Ni 2.39
Se 0.5595 0.7500 0.6342  1 Ni 2.39
Se 0.7468 0.7500 0.2942  2 Ni 2.42
Se 0.7532 0.2500 0.7942  2 Ni 2.42
Se 0.9405 0.2500 0.1342  1 Ni 2.39
Se 0.9434 0.7500 0.6305  1 Ni 2.39